# 1
Density functional theory data (GGA-PBE) for a relaxed Nd3Sm12Ho crystal.

Structure (POSCAR):
```
Nd3Sm12Ho
1.0
5.134 0.000 0.000
0.000 5.134 0.000
0.000 0.000 20.531
Nd Sm Ho
3 12 1
direct
0.000 0.000 0.000 Nd
0.000 0.000 0.251 Nd
0.000 0.000 0.749 Nd
0.000 0.500 0.126 Sm
0.000 0.500 0.377 Sm
0.000 0.500 0.623 Sm
0.000 0.500 0.874 Sm
0.500 0.000 0.126 Sm
0.500 0.000 0.377 Sm
0.500 0.000 0.623 Sm
0.500 0.000 0.874 Sm
0.500 0.500 0.000 Sm
0.500 0.500 0.251 Sm
0.500 0.500 0.500 Sm
0.500 0.500 0.749 Sm
0.000 0.000 0.500 Ho
```

Values from the calculation:
**Spin magnetization**: 0.00 Bohr magnetons per cell
**Calculated formation energy**: 0.01 eV per atom
**Symmetry**: No. 123

***

# 2
Density functional theory data (GGA-PBE) for a relaxed Nd2Sm5Ho4 crystal.

Structure (POSCAR):
```
Nd2Sm5Ho4
1.0
-1.764 4.568 11.747
1.764 -4.568 11.747
1.764 4.568 -11.747
Nd Sm Ho
2 5 4
direct
0.232 0.232 0.000 Nd
0.768 0.768 0.000 Nd
0.159 0.357 0.802 Sm
0.445 0.643 0.802 Sm
0.500 0.000 0.500 Sm
0.555 0.357 0.198 Sm
0.841 0.643 0.198 Sm
0.097 0.097 0.000 Ho
0.187 0.500 0.687 Ho
0.813 0.500 0.313 Ho
0.903 0.903 0.000 Ho
```

Values from the calculation:
**Spin magnetization**: 0.00 Bohr magnetons per cell
**Calculated formation energy**: 0.18 eV per atom
**Symmetry**: No. 71

***

# 3
Density functional theory data (GGA-PBE) for a relaxed NdSm2Ho crystal.

Structure (POSCAR):
```
NdSm2Ho
1.0
3.628 0.000 0.000
-1.814 3.142 0.000
0.000 0.000 35.237
Nd Sm Ho
3 6 3
direct
0.000 0.000 0.000 Nd
0.333 0.667 0.667 Nd
0.667 0.333 0.333 Nd
0.000 0.000 0.248 Sm
0.000 0.000 0.418 Sm
0.333 0.667 0.085 Sm
0.333 0.667 0.915 Sm
0.667 0.333 0.582 Sm
0.667 0.333 0.752 Sm
0.000 0.000 0.833 Ho
0.333 0.667 0.500 Ho
0.667 0.333 0.167 Ho
```

Values from the calculation:
**Spin magnetization**: 0.00 Bohr magnetons per cell
**Calculated formation energy**: 0.02 eV per atom
**Symmetry**: No. 160

***

# 4
Density functional theory data (GGA-PBE) for a relaxed Nd3Sm6Ho crystal.

Structure (POSCAR):
```
Nd3Sm6Ho
1.0
5.789 -3.493 0.000
5.789 3.493 0.000
-1.758 0.000 8.697
Nd Sm Ho
3 6 1
direct
0.000 0.000 0.000 Nd
0.466 0.466 0.661 Nd
0.534 0.534 0.339 Nd
0.026 0.486 0.313 Sm
0.338 0.338 0.007 Sm
0.486 0.026 0.313 Sm
0.514 0.974 0.687 Sm
0.662 0.662 0.993 Sm
0.974 0.514 0.687 Sm
0.000 0.000 0.500 Ho
```

Values from the calculation:
**Spin magnetization**: 0.00 Bohr magnetons per cell
**Calculated formation energy**: 0.26 eV per atom
**Symmetry**: No. 12

***

# 5
Density functional theory data (GGA-PBE) for a relaxed Nd4SmHo3 crystal.

Structure (POSCAR):
```
Nd4SmHo3
1.0
11.630 0.000 0.000
0.000 7.340 0.000
0.000 0.000 6.329
Nd Sm Ho
8 2 6
direct
0.000 0.128 0.000 Nd
0.000 0.871 0.493 Nd
0.247 0.873 0.832 Nd
0.253 0.127 0.332 Nd
0.500 0.129 0.993 Nd
0.500 0.872 0.500 Nd
0.747 0.127 0.332 Nd
0.753 0.873 0.832 Nd
0.000 0.376 0.498 Sm
0.500 0.624 0.998 Sm
0.000 0.620 0.997 Ho
0.250 0.378 0.830 Ho
0.250 0.622 0.330 Ho
0.500 0.380 0.497 Ho
0.750 0.378 0.830 Ho
0.750 0.622 0.330 Ho
```

Values from the calculation:
**Spin magnetization**: 0.00 Bohr magnetons per cell
**Calculated formation energy**: 0.03 eV per atom
**Symmetry**: No. 31

***

# 6
Density functional theory data (GGA-PBE) for a relaxed Nd2Sm3Ho8 crystal.

Structure (POSCAR):
```
Nd2Sm3Ho8
1.0
10.290 -3.834 0.000
10.290 3.834 0.000
-0.003 0.000 5.584
Nd Sm Ho
2 3 8
direct
0.241 0.241 0.499 Nd
0.759 0.759 0.501 Nd
0.000 0.000 0.500 Sm
0.291 0.709 0.000 Sm
0.709 0.291 0.000 Sm
0.130 0.130 0.000 Ho
0.181 0.604 0.500 Ho
0.336 0.336 0.999 Ho
0.396 0.819 0.500 Ho
0.604 0.181 0.500 Ho
0.664 0.664 0.001 Ho
0.819 0.396 0.500 Ho
0.870 0.870 0.000 Ho
```

Values from the calculation:
**Spin magnetization**: 0.00 Bohr magnetons per cell
**Calculated formation energy**: 0.25 eV per atom
**Symmetry**: No. 12

***

# 7
Density functional theory data (GGA-PBE) for a relaxed Nd3SmHo4 crystal.

Structure (POSCAR):
```
Nd3SmHo4
1.0
11.534 0.000 0.000
0.000 7.318 0.000
0.000 0.000 6.304
Nd Sm Ho
6 2 8
direct
0.000 0.127 0.000 Nd
0.249 0.128 0.336 Nd
0.251 0.872 0.836 Nd
0.500 0.873 0.500 Nd
0.749 0.872 0.836 Nd
0.751 0.128 0.336 Nd
0.000 0.871 0.501 Sm
0.500 0.129 0.001 Sm
0.000 0.379 0.501 Ho
0.000 0.622 0.003 Ho
0.250 0.379 0.835 Ho
0.250 0.621 0.335 Ho
0.500 0.378 0.503 Ho
0.500 0.621 0.001 Ho
0.750 0.379 0.835 Ho
0.750 0.621 0.335 Ho
```

Values from the calculation:
**Spin magnetization**: 0.00 Bohr magnetons per cell
**Calculated formation energy**: 0.03 eV per atom
**Symmetry**: No. 31

***

# 8
Density functional theory data (GGA-PBE) for a relaxed NdSm6Ho2 crystal.

Structure (POSCAR):
```
NdSm6Ho2
1.0
3.616 0.000 0.000
-0.014 8.842 0.000
-1.806 -0.045 9.378
Nd Sm Ho
1 6 2
direct
0.000 0.000 0.000 Nd
0.110 0.665 0.220 Sm
0.222 0.335 0.443 Sm
0.333 0.001 0.666 Sm
0.667 0.999 0.334 Sm
0.778 0.665 0.557 Sm
0.890 0.335 0.780 Sm
0.444 0.666 0.889 Ho
0.556 0.334 0.111 Ho
```

Values from the calculation:
**Spin magnetization**: 0.00 Bohr magnetons per cell
**Calculated formation energy**: 0.02 eV per atom
**Symmetry**: No. 2

***

# 9
Density functional theory data (GGA-PBE) for a relaxed Nd3SmHo2 crystal.

Structure (POSCAR):
```
Nd3SmHo2
1.0
5.118 -3.620 0.000
5.118 3.620 0.000
-5.112 0.000 10.862
Nd Sm Ho
6 2 4
direct
0.125 0.875 0.750 Nd
0.208 0.458 0.916 Nd
0.458 0.208 0.416 Nd
0.542 0.792 0.584 Nd
0.792 0.542 0.084 Nd
0.875 0.125 0.250 Nd
0.375 0.625 0.250 Sm
0.625 0.375 0.750 Sm
0.042 0.291 0.583 Ho
0.291 0.042 0.083 Ho
0.709 0.958 0.917 Ho
0.958 0.709 0.417 Ho
```

Values from the calculation:
**Spin magnetization**: 0.00 Bohr magnetons per cell
**Calculated formation energy**: 0.02 eV per atom
**Symmetry**: No. 15

***

# 10
Density functional theory data (GGA-PBE) for a relaxed Nd5SmHo5 crystal.

Structure (POSCAR):
```
Nd5SmHo5
1.0
9.496 -3.002 0.000
9.496 3.002 0.000
-2.590 0.000 6.556
Nd Sm Ho
5 1 5
direct
0.000 0.000 0.000 Nd
0.324 0.324 0.067 Nd
0.324 0.324 0.579 Nd
0.676 0.676 0.421 Nd
0.676 0.676 0.933 Nd
0.500 0.500 0.000 Sm
0.123 0.123 0.624 Ho
0.169 0.169 0.171 Ho
0.500 0.500 0.500 Ho
0.831 0.831 0.829 Ho
0.877 0.877 0.376 Ho
```

Values from the calculation:
**Spin magnetization**: 0.49 Bohr magnetons per cell
**Calculated formation energy**: 0.26 eV per atom
**Symmetry**: No. 12